1.
Crystalline Sc2Zn16In at its relaxed geometry, computed with PBE.

Properties
VASP energy	-2.0313	eV/atom
SG	R3m, No. 160
ΔE_f	-0.15	eV per atom
density of states at the Fermi level	5.13	states/eV per cell
size of the total moment	0.0	Bohr magnetons per cell

Cell: 6.7749 6.7749 6.7749 Å, 83.11 83.11 83.11°
Closest atoms and distances in Å follow each position.
Fractional positions:
1 Sc 0.6576 0.6576 0.6576  12 Zn 3.09-3.28, 1 In 3.15
2 Sc 0.3352 0.3352 0.3352  13 Zn 2.98-3.33
3 Zn 0.9990 0.6893 0.3125  8 Zn 2.59-2.82
4 Zn 0.6424 0.1770 0.6424  8 Zn 2.49-2.75
5 Zn 0.3125 0.6893 0.9990  8 Zn 2.59-2.82
6 Zn 0.6893 0.9990 0.3125  8 Zn 2.59-2.82
7 Zn 0.8356 0.3502 0.3502  8 Zn 2.49-2.74
8 Zn 0.9990 0.3125 0.6893  8 Zn 2.59-2.82
9 Zn 0.6893 0.3125 0.9990  8 Zn 2.59-2.82
10 Zn 0.3125 0.9990 0.6893  8 Zn 2.59-2.82
11 Zn 0.3502 0.3502 0.8356  8 Zn 2.49-2.74
12 Zn 0.6424 0.6424 0.1770  8 Zn 2.49-2.75
13 Zn 0.1074 0.1074 0.1074  6 Zn 2.63-2.83, 1 In 2.72
14 Zn 0.1770 0.6424 0.6424  8 Zn 2.49-2.75
15 Zn 0.3502 0.8356 0.3502  8 Zn 2.49-2.74
16 Zn 0.0061 0.0061 0.4894  9 Zn 2.59-2.73, 1 In 2.81
17 Zn 0.0061 0.4894 0.0061  9 Zn 2.59-2.73, 1 In 2.81
18 Zn 0.4894 0.0061 0.0061  9 Zn 2.59-2.73, 1 In 2.81
19 In 0.8988 0.8988 0.8988  7 Zn 2.72-2.96



2.
Crystalline Sc8Zn2In at its relaxed geometry, computed with PBE.

Properties
VASP energy	-5.1978	eV/atom
distance to the lowest polymorph of the same formula	112	meV per atom
SG	C2/m, No. 12
ΔE_f	-0.11	eV per atom
density of states at the Fermi level	17.10	states/eV per cell
size of the total moment	1.3	Bohr magnetons per cell

Cell: 4.9670 7.7326 7.7326 Å, 115.78 99.93 99.93°
Closest atoms and distances in Å follow each position.
Fractional positions:
1 Sc 0.5000 0.2316 0.7684  2 Zn 2.68
2 Sc 0.1048 0.0858 0.3262  2 Zn 2.80-2.93
3 Sc 0.8952 0.9142 0.6738  2 Zn 2.80-2.93
4 Sc 0.1048 0.3262 0.0858  2 Zn 2.80-2.93
5 Sc 0.6987 0.3990 0.3990  2 Zn 2.91, 2 Sc 2.91-2.96, 1 In 3.10
6 Sc 0.5000 0.7684 0.2316  2 Zn 2.68
7 Sc 0.3013 0.6010 0.6010  2 Zn 2.91, 2 Sc 2.91-2.96, 1 In 3.10
8 Sc 0.8952 0.6738 0.9142  2 Zn 2.80-2.93
9 Zn 0.0000 0.6923 0.3077  8 Sc 2.68-2.93
10 Zn 0.0000 0.3077 0.6923  8 Sc 2.68-2.93
11 In 0.5000 0.0000 0.0000  12 Sc 3.03-3.37



3.
Crystalline ScZn2In2 at its relaxed geometry, computed with PBE.

Properties
VASP energy	-2.8639	eV/atom
distance to the lowest polymorph of the same formula	108	meV per atom
SG	P4/mbm, No. 127
ΔE_f	0.01	eV per atom
density of states at the Fermi level	4.76	states/eV per cell
size of the total moment	0.9	Bohr magnetons per cell

Cell: 7.9627 7.9627 3.3446 Å, 90.00 90.00 90.00°
Closest atoms and distances in Å follow each position.
Fractional positions:
1 In 0.1361 0.3639 0.0000  6 Zn 2.79-2.94, 1 In 3.06, 2 Sc 3.09
2 In 0.6361 0.1361 0.0000  6 Zn 2.79-2.94, 1 In 3.06, 2 Sc 3.09
3 In 0.3639 0.8639 0.0000  6 Zn 2.79-2.94, 1 In 3.06, 2 Sc 3.09
4 In 0.8639 0.6361 0.0000  6 Zn 2.79-2.94, 1 In 3.06, 2 Sc 3.09
5 Zn 0.1661 0.6661 0.5000  6 In 2.79-2.94
6 Zn 0.3339 0.1661 0.5000  6 In 2.79-2.94
7 Zn 0.8339 0.3339 0.5000  6 In 2.79-2.94
8 Zn 0.6661 0.8339 0.5000  6 In 2.79-2.94
9 Sc 0.0000 0.0000 0.0000  4 In 3.09, 2 Sc 3.34, 8 Zn 3.41
10 Sc 0.5000 0.5000 0.0000  4 In 3.09, 2 Sc 3.34, 8 Zn 3.41



4.
Crystalline ScZnIn2 at its relaxed geometry, computed with PBE.

Properties
VASP energy	-3.4076	eV/atom
SG	P4mm, No. 99
ΔE_f	-0.14	eV per atom
density of states at the Fermi level	2.83	states/eV per cell
size of the total moment	0.4	Bohr magnetons per cell

Cell: 3.4382 3.4382 7.5061 Å, 90.00 90.00 90.04°
Closest atoms and distances in Å follow each position.
Fractional positions:
1 In 0.5000 0.5000 0.2603  4 Sc 3.15, 8 In 3.26-3.44
2 In 0.0000 0.0000 0.9715  4 Zn 2.98-2.99, 4 In 3.26, 1 Sc 3.33
3 Zn 0.5000 0.5000 0.7408  4 Sc 2.91, 4 In 2.98-2.99
4 Sc 0.0000 0.0000 0.5273  4 Zn 2.91, 4 In 3.15



5.
Crystalline Sc2ZnIn at its relaxed geometry, computed with PBE.

Properties
VASP energy	-4.3683	eV/atom
SG	P4mm, No. 99
ΔE_f	-0.20	eV per atom
density of states at the Fermi level	3.43	states/eV per cell
size of the total moment	0.0	Bohr magnetons per cell

Cell: 3.2199 3.2199 8.2975 Å, 90.00 90.00 89.98°
Closest atoms and distances in Å follow each position.
Fractional positions:
1 Sc 0.0000 0.0000 0.0002  4 In 3.20, 8 Sc 3.22-3.23
2 Sc 0.5000 0.5000 0.2762  4 Zn 2.91, 8 Sc 3.22-3.23
3 Zn 0.0000 0.0000 0.4945  4 Sc 2.91, 4 In 3.00, 4 Zn 3.22
4 In 0.5000 0.5000 0.7291  4 Zn 3.00, 4 Sc 3.20, 4 In 3.22



6.
Crystalline Sc2ZnIn at its relaxed geometry, computed with PBE.

Properties
VASP energy	-4.5031	eV/atom
SG	Amm2, No. 38
ΔE_f	-0.33	eV per atom
density of states at the Fermi level	3.53	states/eV per cell
size of the total moment	0.0	Bohr magnetons per cell

Cell: 4.4447 3.4408 5.8779 Å, 73.01 90.00 90.00°
Closest atoms and distances in Å follow each position.
Fractional positions:
1 Sc 0.5000 0.2847 0.3054  4 Zn 2.95-2.96, 3 In 3.03-3.11
2 Sc 0.0000 0.9579 0.9595  1 Zn 2.86, 4 In 3.01
3 Zn 0.0000 0.7033 0.4678  2 In 2.79, 5 Sc 2.86-2.96
4 In 0.5000 0.5541 0.7672  2 Zn 2.79, 7 Sc 3.01-3.11



7.
Crystalline Sc2ZnIn at its relaxed geometry, computed with PBE.

Properties
VASP energy	-4.4740	eV/atom
SG	Cm, No. 8
ΔE_f	-0.31	eV per atom
density of states at the Fermi level	4.33	states/eV per cell
size of the total moment	0.0	Bohr magnetons per cell

Cell: 5.8953 5.8953 4.8495 Å, 65.78 65.78 33.69°
Closest atoms and distances in Å follow each position.
Fractional positions:
1 Sc 0.9999 0.9999 0.9993  4 Zn 2.97, 2 Sc 3.21, 2 In 3.28
2 Sc 0.7668 0.7668 0.7342  2 Zn 2.99, 4 In 3.00, 2 Sc 3.21
3 Zn 0.5080 0.5080 0.4907  2 In 2.80, 6 Sc 2.97-2.99
4 In 0.2252 0.2252 0.2758  2 Zn 2.80, 4 Sc 3.00



8.
Crystalline Sc5Zn4In at its relaxed geometry, computed with PBE.

Properties
VASP energy	-4.3390	eV/atom
SG	P4/mmm, No. 123
ΔE_f	-0.39	eV per atom
density of states at the Fermi level	8.63	states/eV per cell
size of the total moment	0.0	Bohr magnetons per cell

Cell: 3.3660 3.3660 17.2313 Å, 90.00 90.00 90.00°
Closest atoms and distances in Å follow each position.
Fractional positions:
1 Sc 0.5000 0.5000 0.1151  4 Zn 2.91, 4 In 3.10
2 Sc 0.5000 0.5000 0.6935  8 Zn 2.88-2.90
3 Sc 0.5000 0.5000 0.8849  4 Zn 2.91, 4 In 3.10
4 Sc 0.5000 0.5000 0.3065  8 Zn 2.88-2.90
5 Sc 0.5000 0.5000 0.5000  8 Zn 2.91
6 In 0.0000 0.0000 0.0000  8 Sc 3.10, 4 In 3.37
7 Zn 0.0000 0.0000 0.7877  8 Sc 2.88-2.91
8 Zn 0.0000 0.0000 0.4025  8 Sc 2.90-2.91
9 Zn 0.0000 0.0000 0.2123  8 Sc 2.88-2.91
10 Zn 0.0000 0.0000 0.5975  8 Sc 2.90-2.91



9.
Crystalline ScZn3In at its relaxed geometry, computed with PBE.

Properties
VASP energy	-2.0195	eV/atom
distance to the lowest polymorph of the same formula	0	meV per atom
SG	Pm-3m, No. 221
ΔE_f	0.56	eV per atom
density of states at the Fermi level	4.32	states/eV per cell
size of the total moment	0.0	Bohr magnetons per cell

Cell: 4.9882 4.9882 4.9882 Å, 90.00 90.00 90.00°
Closest atoms and distances in Å follow each position.
Fractional positions:
1 Zn 0.0000 0.0000 0.5000  2 In 2.49
2 Zn 0.5000 0.0000 0.0000  2 In 2.49
3 Zn 0.0000 0.5000 0.0000  2 In 2.49
4 In 0.0000 0.0000 0.0000  6 Zn 2.49
5 Sc 0.5000 0.5000 0.5000  12 Zn 3.53



10.
Crystalline ScZn2In at its relaxed geometry, computed with PBE.

Properties
VASP energy	-3.0447	eV/atom
SG	C2/m, No. 12
ΔE_f	-0.14	eV per atom
density of states at the Fermi level	1.82	states/eV per cell
size of the total moment	0.0	Bohr magnetons per cell

Cell: 5.0226 5.0226 5.1232 Å, 78.24 78.24 39.13°
Closest atoms and distances in Å follow each position.
Fractional positions:
1 In 0.7500 0.7500 0.7500  6 Zn 2.94-2.99, 4 Sc 3.06
2 Zn 0.9981 0.9981 0.0112  3 Sc 2.91-2.93, 3 In 2.94-2.99, 4 Zn 2.98-3.15
3 Zn 0.5019 0.5019 0.4888  3 Sc 2.91-2.93, 3 In 2.94-2.99, 4 Zn 2.98-3.15
4 Sc 0.2500 0.2500 0.2500  6 Zn 2.91-2.93, 4 In 3.06



11.
Crystalline Sc2ZnIn at its relaxed geometry, computed with PBE.

Properties
VASP energy	-4.1875	eV/atom
SG	I-42d, No. 122
ΔE_f	-0.02	eV per atom
density of states at the Fermi level	6.31	states/eV per cell
size of the total moment	0.0	Bohr magnetons per cell

Cell: 7.6300 7.6300 6.2423 Å, 52.33 52.33 90.00°
Closest atoms and distances in Å follow each position.
Fractional positions:
1 In 0.0000 0.0000 0.0000  4 Sc 2.95, 2 Zn 3.14
2 In 0.7500 0.2500 0.5000  4 Sc 2.95, 2 Zn 3.14
3 Zn 0.2500 0.7500 0.5000  4 Sc 2.67
4 Zn 0.5000 0.5000 0.0000  4 Sc 2.67
5 Sc 0.5981 0.1250 0.2500  2 Zn 2.67, 2 In 2.95
6 Sc 0.8750 0.8481 0.7500  2 Zn 2.67, 2 In 2.95
7 Sc 0.3750 0.4019 0.7500  2 Zn 2.67, 2 In 2.95
8 Sc 0.1519 0.6250 0.2500  2 Zn 2.67, 2 In 2.95



12.
Crystalline ScZnIn2 at its relaxed geometry, computed with PBE.

Properties
VASP energy	-3.3392	eV/atom
SG	R3m, No. 160
ΔE_f	-0.07	eV per atom
density of states at the Fermi level	3.00	states/eV per cell
size of the total moment	0.0	Bohr magnetons per cell

Cell: 9.7020 9.7020 9.7020 Å, 19.89 19.89 19.89°
Closest atoms and distances in Å follow each position.
Fractional positions:
1 Zn 0.7523 0.7523 0.7523  3 Sc 2.89, 3 In 2.96
2 In 0.0068 0.0068 0.0068  3 Zn 2.96, 3 In 3.29
3 In 0.2469 0.2469 0.2469  3 Sc 3.13, 9 In 3.29-3.35
4 Sc 0.4940 0.4940 0.4940  3 Zn 2.89, 3 In 3.13



13.
Crystalline ScZn2In at its relaxed geometry, computed with PBE.

Properties
VASP energy	-3.1850	eV/atom
SG	P4/mmm, No. 123
ΔE_f	-0.28	eV per atom
density of states at the Fermi level	3.48	states/eV per cell
size of the total moment	0.0	Bohr magnetons per cell

Cell: 4.2345 4.2387 4.1805 Å, 90.00 90.00 90.00°
Closest atoms and distances in Å follow each position.
Fractional positions:
1 Sc 0.0000 0.5000 0.5000  8 Zn 2.98, 4 In 3.00
2 Zn 0.5000 0.5000 0.0000  4 Sc 2.98, 4 In 2.98, 4 Zn 3.00
3 Zn 0.0000 0.0000 0.0000  4 In 2.98, 4 Sc 2.98, 4 Zn 3.00
4 In 0.5000 0.0000 0.5000  8 Zn 2.98, 4 Sc 3.00